[1]
# DyTh2Bi

DyTh2Bi after structural relaxation (PBE-GGA, Alexandria via LeMat-Bulk).

Its total energy is -5.7005 eV/atom. The calculation puts the polymorph energy (0 for the lowest one) at 0.4654 eV per atom.

The structure belongs to space group R-3m (No. 166, hexagonal axes); the cell edges are 3.5073, 3.5073 and 37.6350 Å and the angles 90.00°, 90.00° and 120.00°. The inequivalent atoms are Dy at (0.0000, 0.0000, 0.0000), Th at (0.0000, 0.0000, 0.4121) and Bi at (0.0000, 0.0000, 0.5000).

***

[2]
# DyTh4Bi6

DyTh4Bi6 after structural relaxation (PBE-GGA, Alexandria via LeMat-Bulk).

Its total energy is -5.7582 eV/atom.

The structure belongs to space group R-3c (No. 167, hexagonal axes); the cell edges are 12.7099, 12.7099 and 15.5889 Å and the angles 90.00°, 90.00° and 120.00°. The inequivalent atoms are Dy at (0.0000, 0.0000, 0.0000), Th at (0.0000, 0.0000, 0.2500), Th at (0.0000, 0.3934, 0.2500) and Bi at (0.0362, 0.2138, 0.3849).

***

One value per record, in order, for DFT formation energy: 0.1302 -0.5248 eV/atom.